A relaxed structure of TmAlZnPt. Source: the Alexandria database, functional PBE.

Values from the calculation:
- ΔE_f (eV per atom) = -0.760
- magnetic moment (μB per cell) = 0.000
- crystal system = cubic

Cell lengths 4.643, 4.643, 4.643 Å; angles 60.00, 60.00, 60.00 degrees
Positions (direct):
1 Tm 0.000 0.000 0.000
2 Al 0.500 0.500 0.500
3 Zn 0.250 0.250 0.250
4 Pt 0.750 0.750 0.750